--- A ---
This record from Alexandria describes Li3Ni2P3O12 at its PBEsol-relaxed geometry. The functional is meta-GGA SCAN.

Magnetic moment, μB per cell: 8.0
Volume, Å³/atom: 9.652
Calculated density, kg/m³: 3640

CIF file:
```
data_Li3Ni2P3O12
_space_group_name_H-M_alt 'C 1 2/c 1'
_space_group_IT_number 15
_space_group_name_Hall '-C 2yc'
_cell_length_a 11.173
_cell_length_b 12.347
_cell_length_c 6.083
_cell_angle_alpha 90.00
_cell_angle_beta 113.05
_cell_angle_gamma 90.00
loop_
_atom_site_label
_atom_site_fract_x
_atom_site_fract_y
_atom_site_fract_z
Li1 0.000 0.000 0.000
Li2 0.000 0.211 0.250
Li3 0.000 0.469 0.250
Ni1 0.213 0.338 0.129
P1 0.000 0.214 0.750
P2 0.237 0.401 0.634
O1 0.042 0.284 0.981
O2 0.105 0.135 0.734
O3 0.121 0.078 0.299
O4 0.150 0.497 0.104
O5 0.171 0.334 0.399
O6 0.221 0.322 0.828
```

---

--- B ---
This record from Alexandria describes Li3Ni2P3O12 at its PBEsol-relaxed geometry. The functional is meta-GGA SCAN.

Magnetic moment, μB per cell: 12.2
Volume, Å³/atom: 10.644
Calculated density, kg/m³: 3300

CIF file:
```
data_Li3Ni2P3O12
_space_group_name_H-M_alt 'R -3'
_space_group_IT_number 148
_space_group_name_Hall '-R 3'
_cell_length_a 8.2258
_cell_length_b 8.2258
_cell_length_c 21.7975
_cell_angle_alpha 90.00
_cell_angle_beta 90.00
_cell_angle_gamma 120.00
loop_
_atom_site_label
_atom_site_fract_x
_atom_site_fract_y
_atom_site_fract_z
Li1 0.0277 0.6390 0.2149
Ni1 0.0000 0.0000 0.1517
Ni2 0.0000 0.0000 0.3575
P1 0.0082 0.7170 0.7497
O1 0.0151 0.8088 0.6894
O2 0.0364 0.2066 0.5831
O3 0.0875 0.2266 0.1967
O4 0.1016 0.2233 0.8997
```

---

Least stable of them? B.

---

--- A ---
This record from Alexandria describes Li2Ni3P4O14 at its PBEsol-relaxed geometry. The functional is meta-GGA SCAN.

Magnetic moment, μB per cell: 12.1
Volume, Å³/atom: 10.494
Calculated density, kg/m³: 3700

CIF file:
```
data_Li2Ni3P4O14
_space_group_name_H-M_alt 'P 1 21/c 1'
_space_group_IT_number 14
_space_group_name_Hall '-P 2ybc'
_cell_length_a 7.178
_cell_length_b 7.757
_cell_length_c 9.222
_cell_angle_alpha 90.00
_cell_angle_beta 109.92
_cell_angle_gamma 90.00
loop_
_atom_site_label
_atom_site_fract_x
_atom_site_fract_y
_atom_site_fract_z
Li1 0.206 0.088 0.128
Ni1 0.312 0.126 0.478
Ni2 0.500 0.000 0.000
P1 0.093 0.049 0.717
P2 0.383 0.707 0.194
O1 0.117 0.166 0.592
O2 0.120 0.506 0.797
O3 0.175 0.640 0.195
O4 0.221 0.113 0.880
O5 0.348 0.619 0.616
O6 0.463 0.576 0.106
O7 0.485 0.207 0.135
```

---

--- B ---
This record from Alexandria describes Li2Ni3P4O14 at its PBEsol-relaxed geometry. The functional is meta-GGA SCAN.

Magnetic moment, μB per cell: 11.8
Volume, Å³/atom: 10.269
Calculated density, kg/m³: 3781

CIF file:
```
data_Li2Ni3P4O14
_space_group_name_H-M_alt 'P -1'
_space_group_IT_number 2
_space_group_name_Hall '-P 1'
_cell_length_a 5.159
_cell_length_b 6.329
_cell_length_c 15.432
_cell_angle_alpha 81.12
_cell_angle_beta 82.90
_cell_angle_gamma 72.17
loop_
_atom_site_label
_atom_site_fract_x
_atom_site_fract_y
_atom_site_fract_z
Li1 0.022 0.186 0.024
Li2 0.384 0.184 0.137
Ni1 0.066 0.143 0.816
Ni2 0.214 0.457 0.331
Ni3 0.215 0.778 0.596
P1 0.198 0.610 0.796
P2 0.300 0.283 0.543
P3 0.337 0.925 0.318
P4 0.474 0.257 0.935
O1 0.001 0.524 0.212
O2 0.042 0.820 0.840
O3 0.127 0.489 0.587
O4 0.146 0.157 0.336
O5 0.171 0.095 0.554
O6 0.185 0.783 0.285
O7 0.213 0.832 0.067
O8 0.320 0.335 0.020
O9 0.349 0.091 0.905
O10 0.376 0.646 0.711
O11 0.401 0.351 0.447
O12 0.416 0.798 0.413
O13 0.418 0.045 0.740
O14 0.427 0.472 0.860
```

---

Least stable of them? B.

---

--- A ---
This record from Alexandria describes Li3Ni2SnO6 at its PBEsol-relaxed geometry. The functional is meta-GGA SCAN.

Magnetic moment, μB per cell: 6.0
Volume, Å³/atom: 9.215
Calculated density, kg/m³: 5300

CIF file:
```
data_Li3Ni2SnO6
_space_group_name_H-M_alt 'C 1 2/m 1'
_space_group_IT_number 12
_space_group_name_Hall '-C 2y'
_cell_length_a 12.916
_cell_length_b 2.973
_cell_length_c 5.899
_cell_angle_alpha 90.00
_cell_angle_beta 102.46
_cell_angle_gamma 90.00
loop_
_atom_site_label
_atom_site_fract_x
_atom_site_fract_y
_atom_site_fract_z
Li1 0.000 0.000 0.000
Li2 0.177 0.500 0.316
Ni1 0.170 0.500 0.845
Sn1 0.000 0.000 0.500
O1 0.005 0.500 0.258
O2 0.163 0.000 0.609
O3 0.170 0.000 0.061
```

---

--- B ---
This record from Alexandria describes Li3Ni2SnO6 at its PBEsol-relaxed geometry. The functional is meta-GGA SCAN.

Magnetic moment, μB per cell: 6.0
Volume, Å³/atom: 9.250
Calculated density, kg/m³: 5280

CIF file:
```
data_Li3Ni2SnO6
_space_group_name_H-M_alt 'P -1'
_space_group_IT_number 2
_space_group_name_Hall '-P 1'
_cell_length_a 5.974
_cell_length_b 6.613
_cell_length_c 6.614
_cell_angle_alpha 73.18
_cell_angle_beta 63.27
_cell_angle_gamma 76.98
loop_
_atom_site_label
_atom_site_fract_x
_atom_site_fract_y
_atom_site_fract_z
Li1 0.063 0.353 0.195
Li2 0.250 0.998 0.500
Li3 0.421 0.642 0.831
Ni1 0.163 0.661 0.342
Ni2 0.338 0.339 0.651
Sn1 0.000 0.000 0.000
Sn2 0.500 0.000 0.000
O1 0.045 0.674 0.106
O2 0.127 0.020 0.237
O3 0.179 0.336 0.443
O4 0.291 0.657 0.559
O5 0.373 0.998 0.755
O6 0.490 0.327 0.889
```

---

Least stable of them? A.

---

--- A ---
This record from Alexandria describes Li2VNiO4 at its PBEsol-relaxed geometry. The functional is meta-GGA SCAN.

Magnetic moment, μB per cell: 9.0
Volume, Å³/atom: 8.450
Calculated density, kg/m³: 4606

CIF file:
```
data_Li2VNiO4
_space_group_name_H-M_alt 'P -1'
_space_group_IT_number 2
_space_group_name_Hall '-P 1'
_cell_length_a 5.059
_cell_length_b 5.743
_cell_length_c 7.517
_cell_angle_alpha 100.90
_cell_angle_beta 108.62
_cell_angle_gamma 90.10
loop_
_atom_site_label
_atom_site_fract_x
_atom_site_fract_y
_atom_site_fract_z
Li1 0.002 0.411 0.167
Li2 0.002 0.923 0.168
Li3 0.008 0.759 0.503
V1 0.498 0.335 0.836
V2 0.500 0.500 0.500
Ni1 0.500 0.000 0.500
Ni2 0.500 0.166 0.166
O1 0.262 0.381 0.999
O2 0.266 0.698 0.333
O3 0.267 0.534 0.668
O4 0.270 0.056 0.675
O5 0.270 0.864 0.009
O6 0.272 0.223 0.344
```

---

--- B ---
This record from Alexandria describes Li2VNiO4 at its PBEsol-relaxed geometry. The functional is meta-GGA SCAN.

Magnetic moment, μB per cell: 4.0
Volume, Å³/atom: 8.425
Calculated density, kg/m³: 4620

CIF file:
```
data_Li2VNiO4
_space_group_name_H-M_alt 'I m m a'
_space_group_IT_number 74
_space_group_name_Hall '-I 2b 2'
_cell_length_a 5.616
_cell_length_b 5.870
_cell_length_c 8.178
_cell_angle_alpha 90.00
_cell_angle_beta 90.00
_cell_angle_gamma 90.00
loop_
_atom_site_label
_atom_site_fract_x
_atom_site_fract_y
_atom_site_fract_z
Li1 0.000 0.000 0.000
Li2 0.250 0.250 0.250
V1 0.250 0.250 0.750
Ni1 0.000 0.000 0.500
O1 0.000 0.013 0.753
O2 0.244 0.250 0.520
```

---

Least stable of them? B.

---

--- A ---
This record from Alexandria describes Li2V3NiO8 at its PBEsol-relaxed geometry. The functional is meta-GGA SCAN.

Magnetic moment, μB per cell: 7.0
Volume, Å³/atom: 9.810
Calculated density, kg/m³: 4273

CIF file:
```
data_Li2V3NiO8
_space_group_name_H-M_alt 'C 1 m 1'
_space_group_IT_number 8
_space_group_name_Hall 'C -2y'
_cell_length_a 11.679
_cell_length_b 3.894
_cell_length_c 6.302
_cell_angle_alpha 90.00
_cell_angle_beta 106.58
_cell_angle_gamma 90.00
loop_
_atom_site_label
_atom_site_fract_x
_atom_site_fract_y
_atom_site_fract_z
Li1 0.000 0.000 0.000
Li2 0.123 0.000 0.686
V1 0.174 0.500 0.074
V2 0.344 0.000 0.062
V3 0.450 0.000 0.646
Ni1 0.272 0.500 0.651
O1 0.001 0.500 0.001
O2 0.115 0.500 0.713
O3 0.172 0.000 0.029
O4 0.206 0.500 0.345
O5 0.298 0.000 0.719
O6 0.334 0.500 0.022
O7 0.403 0.000 0.353
O8 0.448 0.500 0.668
```

---

--- B ---
This record from Alexandria describes Li2V3NiO8 at its PBEsol-relaxed geometry. The functional is meta-GGA SCAN.

Magnetic moment, μB per cell: 10.0
Volume, Å³/atom: 9.445
Calculated density, kg/m³: 4438

CIF file:
```
data_Li2V3NiO8
_space_group_name_H-M_alt 'P 63 m c'
_space_group_IT_number 186
_space_group_name_Hall 'P 6c -2c'
_cell_length_a 5.6475
_cell_length_b 5.6475
_cell_length_c 9.5739
_cell_angle_alpha 90.00
_cell_angle_beta 90.00
_cell_angle_gamma 120.00
loop_
_atom_site_label
_atom_site_fract_x
_atom_site_fract_y
_atom_site_fract_z
Li1 0.0000 0.0000 0.0000
Li2 0.3333 0.6667 0.1018
V1 0.1758 0.3516 0.7818
Ni1 0.3333 0.6667 0.5040
O1 0.0000 0.0000 0.1858
O2 0.0352 0.5176 0.6577
O3 0.1638 0.3276 0.3855
O4 0.3333 0.6667 0.9043
```

---

Least stable of them? A.

---

--- A ---
This record from Alexandria describes LiNiOs2 at its PBEsol-relaxed geometry. The functional is meta-GGA SCAN.

Magnetic moment, μB per cell: 0.0
Volume, Å³/atom: 11.928
Calculated density, kg/m³: 15526

CIF file:
```
data_LiNiOs2
_space_group_name_H-M_alt 'P 4/m m m'
_space_group_IT_number 123
_space_group_name_Hall '-P 4 2'
_cell_length_a 3.028
_cell_length_b 3.028
_cell_length_c 5.203
_cell_angle_alpha 90.00
_cell_angle_beta 90.00
_cell_angle_gamma 90.00
loop_
_atom_site_label
_atom_site_fract_x
_atom_site_fract_y
_atom_site_fract_z
Li1 0.000 0.000 0.000
Ni1 0.000 0.000 0.500
Os1 0.500 0.500 0.241
```

---

--- B ---
This record from Alexandria describes LiNiOs2 at its PBEsol-relaxed geometry. The functional is meta-GGA SCAN.

Magnetic moment, μB per cell: 0.0
Volume, Å³/atom: 12.793
Calculated density, kg/m³: 14476

CIF file:
```
data_LiNiOs2
_space_group_name_H-M_alt 'C 1 2/m 1'
_space_group_IT_number 12
_space_group_name_Hall '-C 2y'
_cell_length_a 5.129
_cell_length_b 8.599
_cell_length_c 2.555
_cell_angle_alpha 90.00
_cell_angle_beta 114.73
_cell_angle_gamma 90.00
loop_
_atom_site_label
_atom_site_fract_x
_atom_site_fract_y
_atom_site_fract_z
Li1 0.000 0.000 0.000
Ni1 0.000 0.500 0.000
Os1 0.250 0.250 0.500
```

---

Least stable of them? A.